# 1
Density functional theory data (PBE) for SrSc2Si after structural relaxation.

Structure (CIF):
```
data_SrSc2Si
_chemical_formula_sum 'Sr2 Sc4 Si2'
_symmetry_space_group_name_H-M 'I m m 2'
_symmetry_Int_Tables_number 44
_symmetry_space_group_name_Hall 'I 2 -2'
_cell_length_a 3.906
_cell_length_b 4.701
_cell_length_c 11.130
_cell_angle_alpha 90.00
_cell_angle_beta 90.00
_cell_angle_gamma 90.00
loop_
_atom_site_label
_atom_site_fract_x
_atom_site_fract_y
_atom_site_fract_z
Sr1 0.000 0.000 0.000
Sc1 0.000 0.000 0.596
Sc2 0.000 0.500 0.787
Si1 0.000 0.500 0.262
```

Results
- volume (Å³ per cell) = 204.4

***

# 2
Density functional theory data (PBE) for Sr3ScSi after structural relaxation.

Structure (CIF):
```
data_Sr3ScSi
_chemical_formula_sum 'Sr3 Sc1 Si1'
_symmetry_space_group_name_H-M 'P m -3 m'
_symmetry_Int_Tables_number 221
_symmetry_space_group_name_Hall '-P 4 2 3'
_cell_length_a 6.062
_cell_length_b 6.062
_cell_length_c 6.062
_cell_angle_alpha 90.00
_cell_angle_beta 90.00
_cell_angle_gamma 90.00
loop_
_atom_site_label
_atom_site_fract_x
_atom_site_fract_y
_atom_site_fract_z
Sr1 0.000 0.000 0.500
Sc1 0.500 0.500 0.500
Si1 0.000 0.000 0.000
```

Results
- ΔE to the lowest computed polymorph (meV/atom) = 0
- volume (Å³ per cell) = 222.7

***

# 3
Density functional theory data (PBE) for SrSc2Si after structural relaxation.

Structure (CIF):
```
data_SrSc2Si
_chemical_formula_sum 'Sr3 Sc6 Si3'
_symmetry_space_group_name_H-M 'R -3 m'
_symmetry_Int_Tables_number 166
_symmetry_space_group_name_Hall '-R 3 2"'
_cell_length_a 3.3893
_cell_length_b 3.3893
_cell_length_c 34.3609
_cell_angle_alpha 90.00
_cell_angle_beta 90.00
_cell_angle_gamma 120.00
loop_
_atom_site_label
_atom_site_fract_x
_atom_site_fract_y
_atom_site_fract_z
Sr1 0.0000 0.0000 0.0000
Sc1 0.0000 0.0000 0.4222
Si1 0.0000 0.0000 0.5000
```

Results
- volume (Å³ per cell) = 341.8

***

# 4
Density functional theory data (PBE) for SrScSi2 after structural relaxation.

Structure (CIF):
```
data_SrScSi2
_chemical_formula_sum 'Sr4 Sc4 Si8'
_symmetry_space_group_name_H-M 'F m -3 m'
_symmetry_Int_Tables_number 225
_symmetry_space_group_name_Hall '-F 4 2 3'
_cell_length_a 7.082
_cell_length_b 7.082
_cell_length_c 7.082
_cell_angle_alpha 90.00
_cell_angle_beta 90.00
_cell_angle_gamma 90.00
loop_
_atom_site_label
_atom_site_fract_x
_atom_site_fract_y
_atom_site_fract_z
Sr1 0.000 0.000 0.000
Sc1 0.000 0.000 0.500
Si1 0.250 0.250 0.250
```

Results
- ΔE to the lowest computed polymorph (meV/atom) = 345
- volume (Å³ per cell) = 355.2

***

# 5
Density functional theory data (PBE) for SrSc2Si after structural relaxation.

Structure (CIF):
```
data_SrSc2Si
_chemical_formula_sum 'Sr1 Sc2 Si1'
_symmetry_space_group_name_H-M 'P m m 2'
_symmetry_Int_Tables_number 25
_symmetry_space_group_name_Hall 'P 2 -2'
_cell_length_a 3.476
_cell_length_b 3.882
_cell_length_c 7.842
_cell_angle_alpha 90.00
_cell_angle_beta 90.00
_cell_angle_gamma 90.00
loop_
_atom_site_label
_atom_site_fract_x
_atom_site_fract_y
_atom_site_fract_z
Sr1 0.000 0.000 0.000
Sc1 0.000 0.000 0.587
Sc2 0.500 0.500 0.358
Si1 0.500 0.500 0.718
```

Results
- volume (Å³ per cell) = 105.8

***

# 6
Density functional theory data (PBE) for SrSc2Si after structural relaxation.

Structure (CIF):
```
data_SrSc2Si
_chemical_formula_sum 'Sr2 Sc4 Si2'
_symmetry_space_group_name_H-M 'I 4/m m m'
_symmetry_Int_Tables_number 139
_symmetry_space_group_name_Hall '-I 4 2'
_cell_length_a 4.553
_cell_length_b 4.553
_cell_length_c 9.298
_cell_angle_alpha 90.00
_cell_angle_beta 90.00
_cell_angle_gamma 90.00
loop_
_atom_site_label
_atom_site_fract_x
_atom_site_fract_y
_atom_site_fract_z
Sr1 0.000 0.000 0.000
Sc1 0.000 0.500 0.250
Si1 0.000 0.000 0.500
```

Results
- volume (Å³ per cell) = 192.7

***

Computed ΔE_f (raw), in the same sequence as the records: -22.4 125.1 214.0 -52.6 -57.7 36.3 kJ/mol of formula units.
Computed calculated total energy, in the same sequence as the records: -5.000 -3.101 -4.387 -4.851 -5.091 -4.848 eV per atom.